The following is a DFT calculation (PBE) of CaMg2Pt after structural relaxation.

Cell: 8.066 4.659 5.764 Å, 90.00 117.89 90.00°
Positions (direct):
Ca  0.000  0.000  0.000
Ca  0.500  0.500  0.000
Mg  0.205  0.000  0.614
Mg  0.465  0.000  0.396
Mg  0.705  0.500  0.614
Mg  0.965  0.500  0.396
Pt  0.307  0.500  0.421
Pt  0.807  0.000  0.421

Output
Space-group type: Cm, No. 8
Magnetic moment, μB/atom: 0.00
E_form, eV per atom: -0.540